This record from Alexandria describes an optimized crystal structure of FeRePO2. The functional is PBE with a Hubbard U.

abc: 3.5854 3.5854 5.9596
angles: 90.00 90.00 90.00
Closest atoms and distances in Å follow each position.
Sites, in units of the cell vectors:
Fe1 0.0000 0.0000 0.0000  4 O 1.79
Re1 0.5000 0.5000 0.5000  4 P 2.54
P1 0.0000 0.0000 0.5000  4 Re 2.54
O1 0.0000 0.5000 0.0000  2 Fe 1.79
O2 0.5000 0.0000 0.0000  2 Fe 1.79

Values from the calculation:
* final energy: -6.36 eV/atom
* crystal system: tetragonal